No. 1
Ca2Tb3NpN6 | PBE | optimized geometry

Properties
As for the uncorrected formation energy: -1409 meV/atom.

Cell and atoms, written as CIF:
```
data_Ca2Tb3NpN6
_chemical_formula_sum 'Ca4 Tb6 Np2 N12'
_cell_length_a 6.0418
_cell_length_b 10.4527
_cell_length_c 6.0074
_cell_angle_alpha 90.00
_cell_angle_beta 109.53
_cell_angle_gamma 90.00
_space_group_name_H-M_alt 'C 1 2/m 1'
_space_group_IT_number 12
loop_
_space_group_symop_operation_xyz
'x,y,z'
'-x,-y,-z'
'-x,y,-z'
'x,-y,z'
'x+1/2,y+1/2,z'
'-x+1/2,-y+1/2,-z'
'-x+1/2,y+1/2,-z'
'x+1/2,-y+1/2,z'
loop_
_atom_site_label
_atom_site_type_symbol
_atom_site_fract_x
_atom_site_fract_y
_atom_site_fract_z
Ca1 Ca 0.0000 0.1667 0.0000
Tb1 Tb 0.0000 0.0000 0.5000
Tb2 Tb 0.0000 0.3319 0.5000
Np1 Np 0.0000 0.5000 0.0000
N1 N 0.2164 0.5000 0.7609
N2 N 0.2347 0.3486 0.2493
```

No. 2
CaFeGe2Ir | PBE | optimized geometry

Properties
The value obtained for the formation energy is -0.478 eV per atom.

Cell and atoms, written as CIF:
```
data_CaFeGe2Ir
_chemical_formula_sum 'Ca2 Fe2 Ge4 Ir2'
_cell_length_a 4.1163
_cell_length_b 4.1163
_cell_length_c 10.4072
_cell_angle_alpha 90.00
_cell_angle_beta 90.00
_cell_angle_gamma 90.00
_space_group_name_H-M_alt 'I -4 m 2'
_space_group_IT_number 119
_space_group_name_Hall 'I -4 -2'
loop_
_atom_site_label
_atom_site_type_symbol
_atom_site_fract_x
_atom_site_fract_y
_atom_site_fract_z
Ca1 Ca 0.0000 0.0000 0.0000
Fe1 Fe 0.0000 0.5000 0.7500
Ge1 Ge 0.0000 0.0000 0.3729
Ir1 Ir 0.0000 0.5000 0.2500
```

No. 3
In2GaBPt6 | PBE | optimized geometry

Properties
The value obtained for the formation energy is -0.343 eV per atom.

Cell and atoms, written as CIF:
```
data_In2GaBPt6
_chemical_formula_sum 'In2 Ga1 B1 Pt6'
_cell_length_a 5.5166
_cell_length_b 5.5508
_cell_length_c 6.5287
_cell_angle_alpha 106.05
_cell_angle_beta 104.63
_cell_angle_gamma 106.68
_space_group_name_H-M_alt 'P 1'
_space_group_IT_number 1
loop_
_space_group_symop_operation_xyz
'x,y,z'
loop_
_atom_site_label
_atom_site_type_symbol
_atom_site_fract_x
_atom_site_fract_y
_atom_site_fract_z
In1 In 0.0000 0.0000 0.0000
In2 In 0.4557 0.3901 0.8223
Ga1 Ga 0.5962 0.1159 0.2474
B1 B 0.4097 0.8002 0.4643
Pt1 Pt 0.0700 0.9169 0.4212
Pt2 Pt 0.0928 0.4150 0.4235
Pt3 Pt 0.2234 0.6171 0.0966
Pt4 Pt 0.4134 0.8864 0.8298
Pt5 Pt 0.6653 0.5843 0.5147
Pt6 Pt 0.7886 0.1658 0.6597
```

No. 4
BaMnAl2 | PBE | optimized geometry

Properties
The value obtained for the formation energy is 0.259 eV per atom.

Cell and atoms, written as CIF:
```
data_BaMnAl2
_chemical_formula_sum 'Ba4 Mn4 Al8'
_cell_length_a 5.2816
_cell_length_b 5.2816
_cell_length_c 17.4794
_cell_angle_alpha 90.00
_cell_angle_beta 90.00
_cell_angle_gamma 90.00
_space_group_name_H-M_alt 'I 41/a m d'
_space_group_IT_number 141
loop_
_space_group_symop_operation_xyz
'x,y,z'
'-x,-y,-z'
'-y+1/4,x+3/4,z+1/4'
'y+1/4,-x+3/4,-z+1/4'
'-x+1/2,-y,z+1/2'
'x+1/2,y,-z+1/2'
'y+1/4,-x+1/4,z+3/4'
'-y+1/4,x+1/4,-z+3/4'
'x,-y,-z'
'-x,y,z'
'-y+1/4,-x+1/4,-z+3/4'
'y+1/4,x+1/4,z+3/4'
'-x+1/2,y,-z+1/2'
'x+1/2,-y,z+1/2'
'y+1/4,x+3/4,-z+1/4'
'-y+1/4,-x+3/4,z+1/4'
'x+1/2,y+1/2,z+1/2'
'-x+1/2,-y+1/2,-z+1/2'
'-y+3/4,x+1/4,z+3/4'
'y+3/4,-x+1/4,-z+3/4'
'-x,-y+1/2,z'
'x,y+1/2,-z'
'y+3/4,-x+3/4,z+1/4'
'-y+3/4,x+3/4,-z+1/4'
'x+1/2,-y+1/2,-z+1/2'
'-x+1/2,y+1/2,z+1/2'
'-y+3/4,-x+3/4,-z+1/4'
'y+3/4,x+3/4,z+1/4'
'-x,y+1/2,-z'
'x,-y+1/2,z'
'y+3/4,x+1/4,-z+3/4'
'-y+3/4,-x+1/4,z+3/4'
loop_
_atom_site_label
_atom_site_type_symbol
_atom_site_fract_x
_atom_site_fract_y
_atom_site_fract_z
Ba1 Ba 0.0000 0.2500 0.3750
Mn1 Mn 0.0000 0.2500 0.8750
Al1 Al 0.0000 0.0000 0.0000
```

No. 5
As3PN | PBE | optimized geometry

Properties
As for the uncorrected formation energy: 933 meV/atom. The relative energy among the computed polymorphs is 0.0 meV/atom.

Cell and atoms, written as CIF:
```
data_As3PN
_chemical_formula_sum 'As3 P1 N1'
_cell_length_a 4.3502
_cell_length_b 4.3502
_cell_length_c 4.3502
_cell_angle_alpha 90.00
_cell_angle_beta 90.00
_cell_angle_gamma 90.00
_space_group_name_H-M_alt 'P m -3 m'
_space_group_IT_number 221
_space_group_name_Hall '-P 4 2 3'
loop_
_atom_site_label
_atom_site_type_symbol
_atom_site_fract_x
_atom_site_fract_y
_atom_site_fract_z
As1 As 0.0000 0.0000 0.5000
P1 P 0.5000 0.5000 0.5000
N1 N 0.0000 0.0000 0.0000
```

No. 6
PmPr10Ho6 | PBE | optimized geometry

Properties
The value obtained for the formation energy is 0.130 eV per atom.

Cell and atoms, written as CIF:
```
data_PmPr10Ho6
_chemical_formula_sum 'Pm1 Pr10 Ho6'
_cell_length_a 9.9177
_cell_length_b 9.9177
_cell_length_c 6.9629
_cell_angle_alpha 90.00
_cell_angle_beta 90.00
_cell_angle_gamma 120.00
_space_group_name_H-M_alt 'P -3 1 m'
_space_group_IT_number 162
_space_group_name_Hall '-P 3 2'
loop_
_atom_site_label
_atom_site_type_symbol
_atom_site_fract_x
_atom_site_fract_y
_atom_site_fract_z
Pm1 Pm 0.0000 0.0000 0.0000
Pr1 Pr 0.0000 0.2771 0.3194
Pr2 Pr 0.3333 0.6667 0.0000
Pr3 Pr 0.3333 0.6667 0.5000
Ho1 Ho 0.0000 0.3681 0.8138
```

No. 7
TcNiRu | PBE | optimized geometry

Properties
The relative energy among the computed polymorphs is 0.0 meV/atom. The value obtained for the formation energy is 0.011 eV per atom.

Cell and atoms, written as CIF:
```
data_TcNiRu
_chemical_formula_sum 'Tc2 Ni2 Ru2'
_cell_length_a 2.6756
_cell_length_b 3.7574
_cell_length_c 7.8694
_cell_angle_alpha 90.00
_cell_angle_beta 90.00
_cell_angle_gamma 90.00
_space_group_name_H-M_alt 'I m m 2'
_space_group_IT_number 44
loop_
_space_group_symop_operation_xyz
'x,y,z'
'-x,-y,z'
'-x,y,z'
'x,-y,z'
'x+1/2,y+1/2,z+1/2'
'-x+1/2,-y+1/2,z+1/2'
'-x+1/2,y+1/2,z+1/2'
'x+1/2,-y+1/2,z+1/2'
loop_
_atom_site_label
_atom_site_type_symbol
_atom_site_fract_x
_atom_site_fract_y
_atom_site_fract_z
Tc1 Tc 0.0000 0.0000 0.0000
Ni1 Ni 0.0000 0.0000 0.6657
Ru1 Ru 0.0000 0.0000 0.3308
```

No. 8
ThPH | PBE | optimized geometry

Properties
The relative energy among the computed polymorphs is 415.2 meV/atom.

Cell and atoms, written as CIF:
```
data_ThPH
_chemical_formula_sum 'Th6 P6 H6'
_cell_length_a 4.6517
_cell_length_b 4.6517
_cell_length_c 20.5217
_cell_angle_alpha 90.00
_cell_angle_beta 90.00
_cell_angle_gamma 120.00
_space_group_name_H-M_alt 'R -3 m'
_space_group_IT_number 166
_space_group_name_Hall '-R 3 2"'
loop_
_atom_site_label
_atom_site_type_symbol
_atom_site_fract_x
_atom_site_fract_y
_atom_site_fract_z
Th1 Th 0.0000 0.0000 0.2481
P1 P 0.0000 0.0000 0.3885
H1 H 0.0000 0.0000 0.1313
```

No. 9
CsZnInHg2 | PBE | optimized geometry

Properties
The relative energy among the computed polymorphs is 26.4 meV/atom. The value obtained for the formation energy is -0.009 eV per atom.

Cell and atoms, written as CIF:
```
data_CsZnInHg2
_chemical_formula_sum 'Cs1 Zn1 In1 Hg2'
_cell_length_a 5.8297
_cell_length_b 5.8297
_cell_length_c 5.4667
_cell_angle_alpha 90.00
_cell_angle_beta 90.00
_cell_angle_gamma 90.00
_space_group_name_H-M_alt 'P 4/m m m'
_space_group_IT_number 123
_space_group_name_Hall '-P 4 2'
loop_
_atom_site_label
_atom_site_type_symbol
_atom_site_fract_x
_atom_site_fract_y
_atom_site_fract_z
Cs1 Cs 0.0000 0.0000 0.0000
Zn1 Zn 0.5000 0.5000 0.0000
In1 In 0.5000 0.5000 0.5000
Hg1 Hg 0.0000 0.5000 0.5000
```

No. 10
La5AgSe4 | PBE | optimized geometry

Properties
As for the uncorrected formation energy: -1614 meV/atom.

Cell and atoms, written as CIF:
```
data_La5AgSe4
_chemical_formula_sum 'La10 Ag2 Se8'
_cell_length_a 4.3314
_cell_length_b 4.3314
_cell_length_c 30.9042
_cell_angle_alpha 90.00
_cell_angle_beta 90.00
_cell_angle_gamma 90.00
_space_group_name_H-M_alt 'I 4/m m m'
_space_group_IT_number 139
_space_group_name_Hall '-I 4 2'
loop_
_atom_site_label
_atom_site_type_symbol
_atom_site_fract_x
_atom_site_fract_y
_atom_site_fract_z
La1 La 0.0000 0.0000 0.0000
La2 La 0.0000 0.0000 0.1990
La3 La 0.0000 0.0000 0.3963
Ag1 Ag 0.0000 0.0000 0.5000
Se1 Se 0.0000 0.0000 0.1002
Se2 Se 0.0000 0.0000 0.2985
```

No. 11
LiYHf2In | PBE | optimized geometry

Properties
The value obtained for the formation energy is 0.521 eV per atom.

Cell and atoms, written as CIF:
```
data_LiYHf2In
_chemical_formula_sum 'Li1 Y1 Hf2 In1'
_cell_length_a 4.8221
_cell_length_b 4.8221
_cell_length_c 4.9661
_cell_angle_alpha 90.00
_cell_angle_beta 90.00
_cell_angle_gamma 90.00
_space_group_name_H-M_alt 'P 4/m m m'
_space_group_IT_number 123
_space_group_name_Hall '-P 4 2'
loop_
_atom_site_label
_atom_site_type_symbol
_atom_site_fract_x
_atom_site_fract_y
_atom_site_fract_z
Li1 Li 0.0000 0.0000 0.0000
Y1 Y 0.0000 0.0000 0.5000
Hf1 Hf 0.0000 0.5000 0.0000
In1 In 0.5000 0.5000 0.5000
```

No. 12
Al2AgGe | PBE | optimized geometry

Properties
The value obtained for the formation energy is 0.079 eV per atom.

Cell and atoms, written as CIF:
```
data_Al2AgGe
_chemical_formula_sum 'Al2 Ag1 Ge1'
_cell_length_a 2.9949
_cell_length_b 2.9949
_cell_length_c 7.7020
_cell_angle_alpha 90.00
_cell_angle_beta 90.00
_cell_angle_gamma 90.00
_space_group_name_H-M_alt 'P 4/m m m'
_space_group_IT_number 123
_space_group_name_Hall '-P 4 2'
loop_
_atom_site_label
_atom_site_type_symbol
_atom_site_fract_x
_atom_site_fract_y
_atom_site_fract_z
Al1 Al 0.0000 0.0000 0.2447
Ag1 Ag 0.5000 0.5000 0.0000
Ge1 Ge 0.5000 0.5000 0.5000
```